This record from OQMD via LeMat-Bulk describes a relaxed structure of InFeBi. The functional is PBE.

Summary:
- SG = F-43m
- spin magnetization (Bohr magnetons per cell) = 2.88
- relative energy among the computed polymorphs (meV/atom) = 0
- volume (A^3/atom) = 26.8
- calculated total energy (eV/atom) = -4.26

Lattice parameters (Å, degrees): 4.843 4.843 4.843 60.00 60.00 60.00
Fractional coordinates of all 3 atoms:
1 In 0.000 0.000 0.000
2 Fe 0.250 0.250 0.250
3 Bi 0.750 0.750 0.750


This record from OQMD via LeMat-Bulk describes a relaxed structure of SiNiAgMo. The functional is PBE.

Summary:
- SG = F-43m
- spin magnetization (Bohr magnetons per cell) = 0.00
- volume (A^3/atom) = 14.2
- calculated total energy (eV/atom) = -5.95

Lattice parameters (Å, degrees): 4.310 4.310 4.310 60.00 60.00 60.00
Fractional coordinates of all 4 atoms:
1 Si 0.000 0.000 0.000
2 Ni 0.250 0.250 0.250
3 Ag 0.500 0.500 0.500
4 Mo 0.750 0.750 0.750


This record from OQMD via LeMat-Bulk describes a relaxed structure of HoErAl2. The functional is PBE.

Summary:
- SG = Amm2
- spin magnetization (Bohr magnetons per cell) = 0.02
- relative energy among the computed polymorphs (meV/atom) = 192
- volume (A^3/atom) = 23.3
- calculated total energy (eV/atom) = -4.36

Lattice parameters (Å, degrees): 5.034 6.512 6.512 61.04 90.00 90.00
Fractional coordinates of all 8 atoms:
1 Ho 0.000 0.000 0.000
2 Ho 0.500 0.328 0.328
3 Er 0.000 0.509 0.976
4 Er 0.000 0.976 0.509
5 Al 0.000 0.497 0.497
6 Al 0.500 0.367 0.797
7 Al 0.500 0.797 0.367
8 Al 0.500 0.825 0.825


This record from OQMD via LeMat-Bulk describes a relaxed structure of ZrIn. The functional is PBE.

Summary:
- SG = Fm-3m
- spin magnetization (Bohr magnetons per cell) = 0.00
- volume (A^3/atom) = 25.5
- calculated total energy (eV/atom) = -5.52

Lattice parameters (Å, degrees): 4.164 4.164 4.164 60.00 60.00 60.00
Fractional coordinates of all 2 atoms:
1 Zr 0.000 0.000 0.000
2 In 0.500 0.500 0.500


This record from OQMD via LeMat-Bulk describes a relaxed structure of TbPd. The functional is PBE.

Summary:
- SG = P-6m2
- spin magnetization (Bohr magnetons per cell) = 0.00
- volume (A^3/atom) = 23.2
- calculated total energy (eV/atom) = -5.54
- formation enthalpy at 0 K (kJ/mol of formula units) = -124

Lattice parameters (Å, degrees): 3.701 3.701 3.912 90.00 90.00 120.00
Fractional coordinates of all 2 atoms:
1 Tb 0.000 0.000 0.000
2 Pd 0.333 0.667 0.500


This record from OQMD via LeMat-Bulk describes a relaxed structure of Tl2InCuBr6. The functional is PBE.

Summary:
- SG = Fm-3m
- volume (A^3/atom) = 30.6
- calculated total energy (eV/atom) = -2.79

Lattice parameters (Å, degrees): 7.568 7.568 7.568 60.00 60.00 60.00
Fractional coordinates of all 10 atoms:
1 Tl 0.250 0.250 0.250
2 Tl 0.750 0.750 0.750
3 In 0.000 0.000 0.000
4 Cu 0.500 0.500 0.500
5 Br 0.255 0.255 0.745
6 Br 0.255 0.745 0.255
7 Br 0.255 0.745 0.745
8 Br 0.745 0.255 0.255
9 Br 0.745 0.255 0.745
10 Br 0.745 0.745 0.255


This record from OQMD via LeMat-Bulk describes a relaxed structure of Li4SnBiPt2. The functional is PBE.

Summary:
- SG = P-4m2
- spin magnetization (Bohr magnetons per cell) = 0.01
- volume (A^3/atom) = 16.5
- calculated total energy (eV/atom) = -4.07

Lattice parameters (Å, degrees): 4.522 4.522 6.447 90.00 90.00 90.00
Fractional coordinates of all 8 atoms:
1 Li 0.000 0.000 0.000
2 Li 0.000 0.500 0.738
3 Li 0.500 0.000 0.262
4 Li 0.500 0.500 0.500
5 Sn 0.000 0.000 0.500
6 Bi 0.500 0.500 0.000
7 Pt 0.000 0.500 0.267
8 Pt 0.500 0.000 0.733


This record from OQMD via LeMat-Bulk describes a relaxed structure of Ba2HfCdS6. The functional is PBE.

Summary:
- SG = Fm-3m
- spin magnetization (Bohr magnetons per cell) = 0.03
- volume (A^3/atom) = 26.0
- calculated total energy (eV/atom) = -5.18

Lattice parameters (Å, degrees): 7.162 7.162 7.162 60.00 60.00 60.00
Fractional coordinates of all 10 atoms:
1 Ba 0.250 0.250 0.250
2 Ba 0.750 0.750 0.750
3 Hf 0.000 0.000 0.000
4 Cd 0.500 0.500 0.500
5 S 0.245 0.245 0.755
6 S 0.245 0.755 0.245
7 S 0.245 0.755 0.755
8 S 0.755 0.245 0.245
9 S 0.755 0.245 0.755
10 S 0.755 0.755 0.245


This record from OQMD via LeMat-Bulk describes a relaxed structure of UTlPb. The functional is PBE.

Summary:
- SG = F-43m
- spin magnetization (Bohr magnetons per cell) = 3.38
- relative energy among the computed polymorphs (meV/atom) = 116
- volume (A^3/atom) = 32.8
- calculated total energy (eV/atom) = -5.07

Lattice parameters (Å, degrees): 5.181 5.181 5.181 60.00 60.00 60.00
Fractional coordinates of all 3 atoms:
1 U 0.000 0.000 0.000
2 Tl 0.750 0.750 0.750
3 Pb 0.500 0.500 0.500


This record from OQMD via LeMat-Bulk describes a relaxed structure of BeAuF. The functional is PBE.

Summary:
- SG = I4/mmm
- volume (A^3/atom) = 12.4
- calculated total energy (eV/atom) = -3.88

Lattice parameters (Å, degrees): 10.726 10.726 10.726 165.76 165.76 20.20
Fractional coordinates of all 6 atoms:
1 Be 0.091 0.091 0.000
2 Be 0.909 0.909 0.000
3 Au 0.193 0.193 0.000
4 Au 0.807 0.807 0.000
5 F 0.440 0.440 0.000
6 F 0.560 0.560 0.000


This record from OQMD via LeMat-Bulk describes a relaxed structure of Ta2Co3Si. The functional is PBE.

Summary:
- SG = P6_3/mmc
- spin magnetization (Bohr magnetons per cell) = 0.28
- volume (A^3/atom) = 12.7
- calculated total energy (eV/atom) = -8.91

Lattice parameters (Å, degrees): 4.835 4.835 7.532 90.00 90.00 120.00
Fractional coordinates of all 12 atoms:
1 Ta 0.333 0.667 0.059
2 Ta 0.333 0.667 0.441
3 Ta 0.667 0.333 0.559
4 Ta 0.667 0.333 0.941
5 Co 0.169 0.339 0.750
6 Co 0.169 0.831 0.750
7 Co 0.339 0.169 0.250
8 Co 0.661 0.831 0.750
9 Co 0.831 0.169 0.250
10 Co 0.831 0.661 0.250
11 Si 0.000 0.000 0.000
12 Si 0.000 0.000 0.500


This record from OQMD via LeMat-Bulk describes a relaxed structure of SmHoGa2. The functional is PBE.

Summary:
- SG = Amm2
- spin magnetization (Bohr magnetons per cell) = 0.06
- volume (A^3/atom) = 24.5
- calculated total energy (eV/atom) = -4.45

Lattice parameters (Å, degrees): 4.075 5.913 5.913 43.52 90.00 90.00
Fractional coordinates of all 4 atoms:
1 Sm 0.000 0.000 0.000
2 Ho 0.500 0.721 0.721
3 Ga 0.000 0.283 0.283
4 Ga 0.500 0.433 0.433


This record from OQMD via LeMat-Bulk describes a relaxed structure of Li4MgGa2Ir. The functional is PBE.

Summary:
- SG = P-4m2
- spin magnetization (Bohr magnetons per cell) = 0.00
- volume (A^3/atom) = 15.0
- calculated total energy (eV/atom) = -3.32

Lattice parameters (Å, degrees): 4.382 4.382 6.240 90.00 90.00 90.00
Fractional coordinates of all 8 atoms:
1 Li 0.000 0.000 0.000
2 Li 0.000 0.500 0.728
3 Li 0.500 0.000 0.272
4 Li 0.500 0.500 0.500
5 Mg 0.500 0.500 0.000
6 Ga 0.000 0.500 0.284
7 Ga 0.500 0.000 0.716
8 Ir 0.000 0.000 0.500


This record from OQMD via LeMat-Bulk describes a relaxed structure of SrPrLu. The functional is PBE.

Summary:
- SG = F-43m
- spin magnetization (Bohr magnetons per cell) = 0.12
- volume (A^3/atom) = 45.2
- calculated total energy (eV/atom) = -2.83

Lattice parameters (Å, degrees): 5.767 5.767 5.767 60.00 60.00 60.00
Fractional coordinates of all 3 atoms:
1 Sr 0.000 0.000 0.000
2 Pr 0.750 0.750 0.750
3 Lu 0.500 0.500 0.500


This record from OQMD via LeMat-Bulk describes a relaxed structure of PrSmInNi2. The functional is PBE.

Summary:
- SG = Amm2
- spin magnetization (Bohr magnetons per cell) = 0.00
- volume (A^3/atom) = 22.1
- calculated total energy (eV/atom) = -5.13

Lattice parameters (Å, degrees): 3.793 7.529 7.529 30.92 90.00 90.00
Fractional coordinates of all 5 atoms:
1 Pr 0.000 0.000 0.000
2 Sm 0.000 0.273 0.273
3 In 0.500 0.637 0.637
4 Ni 0.500 0.435 0.435
5 Ni 0.500 0.836 0.836


This record from OQMD via LeMat-Bulk describes a relaxed structure of Y2InAg. The functional is PBE.

Summary:
- SG = Imma
- spin magnetization (Bohr magnetons per cell) = 0.01
- volume (A^3/atom) = 27.0
- calculated total energy (eV/atom) = -5.03

Lattice parameters (Å, degrees): 6.545 6.545 6.545 108.76 108.61 111.06
Fractional coordinates of all 8 atoms:
1 Y 0.000 0.250 0.250
2 Y 0.000 0.750 0.750
3 Y 0.500 0.250 0.750
4 Y 0.500 0.750 0.250
5 In 0.500 0.250 0.250
6 In 0.500 0.750 0.750
7 Ag 0.000 0.250 0.750
8 Ag 0.000 0.750 0.250